(1)
DFT (GGA-PBE) results for a geometry-optimized Dy3ReN6 structure.

Properties
Volume, Å³/cell: 295.1
DOS(E_F), states/eV/cell: 12.9
Crystal system: orthorhombic
Raw formation energy, meV/atom: -851

```
Dy3ReN6
1.0
4.701 -5.928 0.000
4.701 5.928 0.000
0.000 0.000 5.295
Dy Re N
6 2 12
Direct
0.104 0.896 0.500
0.202 0.414 0.467
0.414 0.202 0.967
0.586 0.798 0.467
0.798 0.586 0.967
0.896 0.104 0.000
0.303 0.697 0.922
0.697 0.303 0.422
0.084 0.608 0.771
0.150 0.170 0.732
0.170 0.150 0.232
0.291 0.709 0.268
0.392 0.916 0.771
0.448 0.552 0.802
0.552 0.448 0.302
0.608 0.084 0.271
0.709 0.291 0.768
0.830 0.850 0.732
0.850 0.830 0.232
0.916 0.392 0.271
```

(2)
DFT (GGA-PBE) results for a geometry-optimized Ta3SN structure.

Properties
Volume, Å³/cell: 75.8
DOS(E_F), states/eV/cell: 3.8
Crystal system: cubic
Polymorph energy (0 for the lowest one), meV per atom: 0
Raw formation energy, meV/atom: -11

```
Ta3SN
1.0
4.232 0.000 0.000
0.000 4.232 0.000
0.000 0.000 4.232
Ta S N
3 1 1
Direct
0.000 0.000 0.500
0.000 0.500 0.000
0.500 0.000 0.000
0.500 0.500 0.500
0.000 0.000 0.000
```

(3)
DFT (GGA-PBE) results for a geometry-optimized Li2Ac3Ga9 structure.

Properties
Volume, Å³/cell: 309.3
DOS(E_F), states/eV/cell: 6.6
Crystal system: orthorhombic
Total DFT energy (no corrections), eV for the cell shown: -50.42

```
Li2Ac3Ga9
1.0
-2.264 4.949 6.903
2.264 -4.949 6.903
2.264 4.949 -6.903
Li Ac Ga
2 3 9
Direct
0.209 0.000 0.209
0.791 0.000 0.791
0.187 0.187 0.000
0.500 0.500 0.000
0.813 0.813 0.000
0.000 0.500 0.500
0.087 0.358 0.728
0.200 0.835 0.365
0.370 0.642 0.728
0.469 0.835 0.635
0.531 0.165 0.365
0.630 0.358 0.272
0.800 0.165 0.635
0.913 0.642 0.272
```

(4)
DFT (GGA-PBE) results for a geometry-optimized LaInMo2 structure.

Properties
Volume, Å³/cell: 91.7
DOS(E_F), states/eV/cell: 4.1
Crystal system: tetragonal
Total DFT energy (no corrections), eV for the cell shown: -27.72

```
LaInMo2
1.0
3.676 0.000 0.000
0.000 3.676 0.000
0.000 0.000 6.786
La In Mo
1 1 2
Direct
0.000 0.000 0.000
0.000 0.000 0.500
0.500 0.500 0.327
0.500 0.500 0.673
```

(5)
DFT (GGA-PBE) results for a geometry-optimized IrRuI2N structure.

Properties
Volume, Å³/cell: 116.6
DOS(E_F), states/eV/cell: 3.6
Crystal system: tetragonal
Polymorph energy (0 for the lowest one), meV per atom: 0
Raw formation energy, meV/atom: 1026

```
IrRuI2N
1.0
5.629 0.000 0.000
0.000 5.629 0.000
0.000 0.000 3.681
Ir Ru I N
1 1 2 1
Direct
0.000 0.000 0.000
0.500 0.500 0.500
0.000 0.500 0.000
0.500 0.000 0.000
0.000 0.000 0.500
```

(6)
DFT (GGA-PBE) results for a geometry-optimized NaHoSnBi structure.

Properties
Volume, Å³/cell: 112.4
DOS(E_F), states/eV/cell: 4.2
Crystal system: cubic
Total DFT energy (no corrections), eV for the cell shown: -15.08

```
NaHoSnBi
1.0
0.000 3.831 3.831
3.831 0.000 3.831
3.831 3.831 0.000
Na Ho Sn Bi
1 1 1 1
Direct
0.000 0.000 0.000
0.500 0.500 0.500
0.250 0.250 0.250
0.750 0.750 0.750
```

(7)
DFT (GGA-PBE) results for a geometry-optimized La2NdY3Bi6 structure.

Properties
Volume, Å³/cell: 407.3
DOS(E_F), states/eV/cell: 2.3
Crystal system: monoclinic
Total DFT energy (no corrections), eV for the cell shown: -68.78

```
La2NdY3Bi6
1.0
3.972 -6.878 0.000
3.972 6.878 0.000
-2.647 0.000 7.455
La Nd Y Bi
2 1 3 6
Direct
0.166 0.834 0.000
0.834 0.166 0.000
0.500 0.500 0.000
0.000 0.000 0.500
0.333 0.667 0.500
0.667 0.333 0.500
0.082 0.413 0.740
0.256 0.256 0.261
0.413 0.082 0.740
0.587 0.918 0.260
0.744 0.744 0.739
0.918 0.587 0.260
```

(8)
DFT (GGA-PBE) results for a geometry-optimized ZrScReAg2 structure.

Properties
Volume, Å³/cell: 110.6
DOS(E_F), states/eV/cell: 5.4
Crystal system: tetragonal
Polymorph energy (0 for the lowest one), meV per atom: 71

```
ZrScReAg2
1.0
4.824 0.000 0.000
0.000 4.824 0.000
0.000 0.000 4.754
Zr Sc Re Ag
1 1 1 2
Direct
0.000 0.000 0.000
0.500 0.500 0.500
0.500 0.500 0.000
0.000 0.500 0.500
0.500 0.000 0.500
```